## Ac3SbIrBr (PBE)

Data for a relaxed structure of Ac3SbIrBr.

Cell lengths 4.544, 9.256, 10.214 Å; angles 104.09, 90.00, 90.00 degrees
Fractional coordinates of all 12 atoms:
1 Br 0.750 0.903 0.411
2 Sb 0.250 0.181 0.231
3 Br 0.250 0.097 0.589
4 Ir 0.250 0.664 0.151
5 Ac 0.250 0.126 0.885
6 Sb 0.750 0.819 0.769
7 Ac 0.250 0.718 0.491
8 Ac 0.250 0.557 0.854
9 Ac 0.750 0.874 0.115
10 Ac 0.750 0.443 0.146
11 Ac 0.750 0.282 0.509
12 Ir 0.750 0.336 0.849

Properties
* density: 8.57 Mg/m³
* raw total energy: -0.19894 hartree per atom
* SG: P2_1/m, No. 11



## CoH (PBE)

Data for a relaxed structure of CoH.

Cell lengths 5.050, 5.050, 5.050 Å; angles 90.00, 90.00, 90.00 degrees
Fractional coordinates of all 16 atoms:
1 Co 0.684 0.316 0.684
2 Co 0.316 0.316 0.316
3 H 0.639 0.639 0.639
4 H 0.861 0.139 0.861
5 Co 0.184 0.184 0.816
6 H 0.361 0.361 0.639
7 H 0.139 0.861 0.861
8 Co 0.316 0.684 0.684
9 Co 0.184 0.816 0.184
10 H 0.639 0.361 0.361
11 Co 0.816 0.184 0.184
12 Co 0.684 0.684 0.316
13 H 0.139 0.139 0.139
14 Co 0.816 0.816 0.816
15 H 0.861 0.861 0.139
16 H 0.361 0.639 0.361

Properties
* density: 6.18 Mg/m³
* raw total energy: -0.17915 hartree per atom
* SG: I-43m, No. 217



## SrIr2I (PBE)

Data for a relaxed structure of SrIr2I.

Cell lengths 4.930, 4.930, 4.930 Å; angles 60.00, 60.00, 60.00 degrees
Fractional coordinates of all 4 atoms:
1 Sr 0.000 0.000 0.000
2 Ir 0.250 0.250 0.250
3 I 0.500 0.500 0.500
4 Ir 0.750 0.750 0.750

Properties
* density: 11.74 Mg/m³
* raw total energy: -0.16279 hartree per atom
* SG: Fm-3m, No. 225



## MnPt2Au (PBE)

Data for a relaxed structure of MnPt2Au.

Cell lengths 4.879, 4.879, 4.879 Å; angles 131.67, 131.67, 70.75 degrees
Fractional coordinates of all 4 atoms:
1 Au 0.250 0.750 0.500
2 Pt 0.000 0.000 0.000
3 Pt 0.500 0.500 0.000
4 Mn 0.750 0.250 0.500

Properties
* energy of formation: -219.9 meV/atom
* density: 16.80 Mg/m³
* raw total energy: -0.23343 hartree per atom
* SG: I4/mmm, No. 139



## TiVInW (PBE)

Data for a relaxed structure of TiVInW.

Cell lengths 4.538, 4.538, 4.538 Å; angles 60.00, 60.00, 60.00 degrees
Fractional coordinates of all 4 atoms:
1 W 0.750 0.750 0.750
2 In 0.250 0.250 0.250
3 V 0.000 0.000 0.000
4 Ti 0.500 0.500 0.500

Properties
* energy of formation: 66.8 meV/atom
* density: 9.99 Mg/m³
* raw total energy: -0.29802 hartree per atom
* SG: F-43m, No. 216



## SiTe4Se (PBE)

Data for a relaxed structure of SiTe4Se.

Cell lengths 6.228, 6.228, 6.228 Å; angles 60.00, 60.00, 60.00 degrees
Fractional coordinates of all 6 atoms:
1 Si 0.000 0.000 0.000
2 Se 0.750 0.750 0.750
3 Te 0.376 0.873 0.376
4 Te 0.376 0.376 0.873
5 Te 0.376 0.376 0.376
6 Te 0.873 0.376 0.376

Properties
* density: 6.00 Mg/m³
* raw total energy: -0.10245 hartree per atom
* SG: F-43m, No. 216



## KAlBS2 (PBE)

Data for a relaxed structure of KAlBS2.

Cell lengths 4.559, 6.991, 4.559 Å; angles 90.00, 90.00, 90.00 degrees
Fractional coordinates of all 5 atoms:
1 Al 0.000 0.000 0.000
2 S 0.000 0.000 0.500
3 B 0.500 0.500 0.500
4 K 0.000 0.500 0.000
5 S 0.500 0.000 0.000

Properties
* density: 1.61 Mg/m³
* raw total energy: -0.11639 hartree per atom
* SG: P4/mmm, No. 123



## LaPW4 (PBE)

Data for a relaxed structure of LaPW4.

Cell lengths 5.480, 5.480, 5.480 Å; angles 60.00, 60.00, 60.00 degrees
Fractional coordinates of all 6 atoms:
1 W 0.375 0.375 0.375
2 P 0.000 0.000 0.000
3 W 0.375 0.375 0.875
4 W 0.375 0.875 0.375
5 La 0.750 0.750 0.750
6 W 0.875 0.375 0.375

Properties
* energy of formation: 753.8 meV/atom
* density: 12.92 Mg/m³
* raw total energy: -0.35296 hartree per atom
* SG: F-43m, No. 216



## Sr2CuAs (PBE)

Data for a relaxed structure of Sr2CuAs.

Cell lengths 6.395, 6.395, 6.395 Å; angles 139.23, 139.23, 59.02 degrees
Fractional coordinates of all 4 atoms:
1 As 0.500 0.500 0.000
2 Cu 0.750 0.250 0.500
3 Sr 0.000 0.000 0.000
4 Sr 0.250 0.750 0.500

Properties
* energy of formation: -341.0 meV/atom
* density: 4.72 Mg/m³
* raw total energy: -0.12378 hartree per atom
* SG: I-4m2, No. 119



## Pm3GaAg2 (PBE)

Data for a relaxed structure of Pm3GaAg2.

Cell lengths 5.234, 5.234, 6.478 Å; angles 90.00, 90.00, 120.00 degrees
Fractional coordinates of all 6 atoms:
1 Ag 0.667 0.333 0.325
2 Pm 0.000 0.000 0.500
3 Pm 0.667 0.333 0.835
4 Ga 0.000 0.000 0.000
5 Pm 0.333 0.667 0.165
6 Ag 0.333 0.667 0.675

Properties
* energy of formation: -369.0 meV/atom
* density: 7.79 Mg/m³
* raw total energy: -0.15432 hartree per atom
* SG: P-3m1, No. 164



## Er6Zn5In (PBE)

Data for a relaxed structure of Er6Zn5In.

Cell lengths 5.038, 7.186, 8.749 Å; angles 114.25, 106.74, 90.00 degrees
Fractional coordinates of all 12 atoms:
1 Er 0.829 0.085 0.658
2 Er 0.171 0.427 0.342
3 Zn 0.664 0.164 0.329
4 Zn 0.336 0.836 0.671
5 Zn 0.332 0.332 0.665
6 Er 0.171 0.915 0.342
7 Er 0.829 0.573 0.658
8 Er 0.500 0.738 0.000
9 Er 0.500 0.262 0.000
10 Zn 0.668 0.668 0.335
11 In 0.000 0.000 0.000
12 Zn 0.000 0.500 0.000

Properties
* energy of formation: -362.3 meV/atom
* density: 8.76 Mg/m³
* raw total energy: -0.12505 hartree per atom
* SG: Immm, No. 71



## NaAl2H6 (PBE)

Data for a relaxed structure of NaAl2H6.

Cell lengths 4.465, 4.956, 4.956 Å; angles 120.00, 90.00, 90.00 degrees
Fractional coordinates of all 9 atoms:
1 Na 0.000 0.000 0.000
2 Al 0.500 0.333 0.667
3 H 0.711 0.624 0.624
4 H 0.711 0.376 0.000
5 H 0.289 0.376 0.376
6 Al 0.500 0.667 0.333
7 H 0.711 0.000 0.376
8 H 0.289 0.000 0.624
9 H 0.289 0.624 0.000

Properties
* density: 1.45 Mg/m³
* raw total energy: -0.11740 hartree per atom
* SG: P-31m, No. 162



## Tb11Dy9Er4 (PBE)

Data for a relaxed structure of Tb11Dy9Er4.

Cell lengths 3.633, 15.075, 15.075 Å; angles 113.04, 90.00, 90.00 degrees
Fractional coordinates of all 24 atoms:
1 Tb 0.000 0.407 0.045
2 Tb 0.000 0.368 0.632
3 Dy 0.500 0.164 0.631
4 Dy 0.500 0.214 0.068
5 Dy 0.500 0.500 0.500
6 Er 0.500 0.555 0.757
7 Tb 0.000 0.292 0.292
8 Tb 0.000 0.000 0.000
9 Tb 0.000 0.593 0.955
10 Er 0.500 0.757 0.555
11 Tb 0.000 0.708 0.708
12 Dy 0.500 0.836 0.369
13 Er 0.500 0.243 0.445
14 Dy 0.500 0.068 0.214
15 Tb 0.000 0.160 0.840
16 Tb 0.000 0.632 0.368
17 Tb 0.000 0.840 0.160
18 Dy 0.500 0.631 0.164
19 Dy 0.500 0.932 0.786
20 Dy 0.500 0.369 0.836
21 Tb 0.000 0.045 0.407
22 Dy 0.500 0.786 0.932
23 Er 0.500 0.445 0.243
24 Tb 0.000 0.955 0.593

Properties
* energy of formation: 51.2 meV/atom
* density: 8.48 Mg/m³
* raw total energy: -0.16747 hartree per atom
* SG: Cmmm, No. 65



## CuSb2Cl (PBE)

Data for a relaxed structure of CuSb2Cl.

Cell lengths 3.392, 3.392, 9.073 Å; angles 90.00, 90.00, 113.93 degrees
Fractional coordinates of all 4 atoms:
1 Cl 0.000 0.000 0.583
2 Sb 0.500 0.500 0.229
3 Cu 0.500 0.500 0.735
4 Sb 0.000 0.000 0.953

Properties
* density: 5.96 Mg/m³
* raw total energy: -0.13056 hartree per atom
* SG: Cmm2, No. 35



## Be2CdHgSb (PBE)

Data for a relaxed structure of Be2CdHgSb.

Cell lengths 4.524, 4.524, 5.675 Å; angles 90.00, 90.00, 90.00 degrees
Fractional coordinates of all 5 atoms:
1 Hg 0.000 0.000 0.500
2 Sb 0.500 0.500 0.500
3 Cd 0.000 0.000 0.000
4 Be 0.000 0.500 0.000
5 Be 0.500 0.000 0.000

Properties
* density: 6.47 Mg/m³
* raw total energy: -0.05973 hartree per atom
* SG: P4/mmm, No. 123



| no. | V (Å³/f.u.) | density of states at the Fermi level (states/eV per atom) | M_tot (μB/f.u.) |
| --- | --- | --- | --- |
| 1 | 208.4 | 0.5179 | 0.00 |
| 2 | 16.1 | 0.5700 | 1.13 |
| 3 | 84.8 | 0.7223 | 0.99 |
| 4 | 63.5 | 0.6265 | 4.22 |
| 5 | 66.1 | 0.5171 | 0.22 |
| 6 | 170.8 | 1.3511 | 0.00 |
| 7 | 145.3 | 0.5764 | 1.37 |
| 8 | 116.4 | 1.0310 | 0.00 |
| 9 | 110.5 | 0.4239 | 0.00 |
| 10 | 153.7 | 0.9785 | 0.23 |
| 11 | 274.0 | 0.9712 | 0.00 |
| 12 | 95.0 | 0.2663 | 0.00 |
| 13 | 759.8 | 1.2730 | 0.00 |
| 14 | 95.4 | 0.6144 | 0.00 |
| 15 | 116.2 | 0.4794 | 0.00 |